TiCrHIr2 | Alexandria via LeMat-Bulk | PBE | optimized geometry; crystal system = tetragonal; energy above the most stable polymorph in this dataset = 0.00 kcal/mol of atoms; space-group type = P4/mmm
1.0
3.9691 0.0000 0.0000
0.0000 3.9691 0.0000
0.0000 0.0000 3.7969
Ti Cr H Ir
1 1 1 2
direct
0.0000 0.0000 0.0000 Ti
0.5000 0.5000 0.0000 Cr
0.5000 0.5000 0.5000 H
0.0000 0.5000 0.5000 Ir
0.5000 0.0000 0.5000 Ir

TiCrHIr2 | Alexandria via LeMat-Bulk | PBE | optimized geometry; crystal system = tetragonal; energy above the most stable polymorph in this dataset = 0.90 kcal/mol of atoms; space-group type = P4/mmm
1.0
3.9371 0.0000 0.0000
0.0000 3.9371 0.0000
0.0000 0.0000 3.8735
Ti Cr H Ir
1 1 1 2
direct
0.0000 0.0000 0.0000 Ti
0.5000 0.5000 0.0000 Cr
0.0000 0.0000 0.5000 H
0.0000 0.5000 0.5000 Ir
0.5000 0.0000 0.5000 Ir

Ti2CrHIr | Alexandria via LeMat-Bulk | PBE | optimized geometry; crystal system = tetragonal; space-group type = P4/mmm; DFT total energy = -40.0 eV for the cell shown
1.0
4.3116 0.0000 0.0000
0.0000 4.3116 0.0000
0.0000 0.0000 3.2186
Ti Cr H Ir
2 1 1 1
direct
0.0000 0.5000 0.0000 Ti
0.5000 0.0000 0.0000 Ti
0.0000 0.0000 0.5000 Cr
0.0000 0.0000 0.0000 H
0.5000 0.5000 0.5000 Ir

V2CrHIr | Alexandria via LeMat-Bulk | PBE | optimized geometry; crystal system = tetragonal; space-group type = P4/mmm; DFT total energy = -41.0 eV for the cell shown
1.0
3.9032 0.0000 0.0000
0.0000 3.9032 0.0000
0.0000 0.0000 3.6150
V Cr H Ir
2 1 1 1
direct
0.0000 0.5000 0.0000 V
0.5000 0.0000 0.0000 V
0.0000 0.0000 0.5000 Cr
0.0000 0.0000 0.0000 H
0.5000 0.5000 0.5000 Ir

VCr2HIr | Alexandria via LeMat-Bulk | PBE | optimized geometry; crystal system = tetragonal; energy above the most stable polymorph in this dataset = 0.00 kcal/mol of atoms; space-group type = P4/mmm
1.0
3.7380 0.0000 0.0000
0.0000 3.7380 0.0000
0.0000 0.0000 3.8122
V Cr H Ir
1 2 1 1
direct
0.0000 0.0000 0.0000 V
0.0000 0.5000 0.5000 Cr
0.5000 0.0000 0.5000 Cr
0.0000 0.0000 0.5000 H
0.5000 0.5000 0.0000 Ir

VCr2HIr | Alexandria via LeMat-Bulk | PBE | optimized geometry; crystal system = tetragonal; energy above the most stable polymorph in this dataset = 2.18 kcal/mol of atoms; space-group type = P4/mmm
1.0
3.7487 0.0000 0.0000
0.0000 3.7487 0.0000
0.0000 0.0000 3.8356
V Cr H Ir
1 2 1 1
direct
0.0000 0.0000 0.0000 V
0.0000 0.5000 0.5000 Cr
0.5000 0.0000 0.5000 Cr
0.5000 0.5000 0.5000 H
0.5000 0.5000 0.0000 Ir

Y2CrHIr | Alexandria via LeMat-Bulk | PBE | optimized geometry; crystal system = tetragonal; space-group type = P4/mmm; DFT total energy = -36.2 eV for the cell shown
1.0
4.9062 0.0000 0.0000
0.0000 4.9062 0.0000
0.0000 0.0000 3.5822
Y Cr H Ir
2 1 1 1
direct
0.0000 0.5000 0.0000 Y
0.5000 0.0000 0.0000 Y
0.0000 0.0000 0.5000 Cr
0.0000 0.0000 0.0000 H
0.5000 0.5000 0.5000 Ir

Zn2CrHIr | Alexandria via LeMat-Bulk | PBE | optimized geometry; crystal system = tetragonal; space-group type = P4/mmm; DFT total energy = -24.1 eV for the cell shown
1.0
4.0869 0.0000 0.0000
0.0000 4.0869 0.0000
0.0000 0.0000 3.5301
Zn Cr H Ir
2 1 1 1
direct
0.0000 0.5000 0.0000 Zn
0.5000 0.0000 0.0000 Zn
0.0000 0.0000 0.5000 Cr
0.0000 0.0000 0.0000 H
0.5000 0.5000 0.5000 Ir